K2As2PbS6 | PBE | optimized geometry

Geometry as POSCAR:
```
K2As2PbS6
1.0
6.191 -3.599 0.000
6.191 3.599 0.000
-4.369 0.000 7.207
K As Pb S
2 2 1 6
Direct
0.210 0.210 0.211
0.790 0.790 0.789
0.474 0.474 0.829
0.526 0.526 0.171
0.000 0.000 0.500
0.182 0.685 0.184
0.271 0.271 0.638
0.315 0.818 0.816
0.685 0.182 0.184
0.729 0.729 0.362
0.818 0.315 0.816
```

Calculated values
The calculation puts the total magnetization at 0.00 Bohr magnetons per cell. The value obtained for the total energy is -4.13 eV/atom. The raw formation energy comes out at -0.498 eV/atom.